(A)
# FeCuI2O

A geometry-optimized FeCuI2O structure (GGA+U, Alexandria via LeMat-Bulk).

Lattice parameters (Å, degrees): 5.5738 5.5738 3.6819 90.00 90.00 90.00
Fractional positions:
Fe (0.0000, 0.0000, 0.0000)
Cu (0.5000, 0.5000, 0.5000)
I (0.0000, 0.5000, 0.5000)
I (0.5000, 0.0000, 0.5000)
O (0.5000, 0.5000, 0.0000)

Calculated values
Crystal system: tetragonal
ρ: 5.65 Mg/m³


(B)
# FeCuI2O

A geometry-optimized FeCuI2O structure (GGA+U, Alexandria via LeMat-Bulk).

Lattice parameters (Å, degrees): 5.7257 5.7257 3.6774 90.00 90.00 90.00
Fractional positions:
Fe (0.0000, 0.0000, 0.0000)
Cu (0.5000, 0.5000, 0.5000)
I (0.0000, 0.5000, 0.0000)
I (0.5000, 0.0000, 0.0000)
O (0.0000, 0.0000, 0.5000)

Calculated values
Crystal system: tetragonal
ρ: 5.36 Mg/m³


Least stable: (A)